A relaxed ScAs4 crystal. Source: the Alexandria database, functional GGA-PBEsol.

Its energy is -0.407 Ry/atom. For the formation energy, the calculation gives -0.7 eV/f.u. Its crystal system is cubic.

The structure belongs to space group Im-3m (No. 229); the cell edges are 6.0299, 6.0299 and 6.0299 Å and the angles 90.00°, 90.00° and 90.00°. Symmetry generates all atoms from Sc at (0.0000, 0.0000, 0.0000) and As at (0.2500, 0.2500, 0.2500).

A relaxed ScAsSe crystal. Source: the Alexandria database, functional GGA-PBEsol.

Its energy is -0.430 Ry/atom. Its uncorrected formation energy is -660 meV per atom. Its crystal system is hexagonal.

The structure belongs to space group P-6m2 (No. 187); the cell edges are 4.4682, 4.4682 and 3.5030 Å and the angles 90.00°, 90.00° and 120.00°. Symmetry generates all atoms from Sc at (0.0000, 0.0000, 0.0000), As at (0.3333, 0.6667, 0.5000) and Se at (0.6667, 0.3333, 0.0000).

A relaxed ScSnAs2Se crystal. Source: the Alexandria database, functional GGA-PBEsol.

Its energy is -0.369 Ry/atom. Its uncorrected formation energy is -39 meV per atom. Its crystal system is tetragonal.

The structure belongs to space group P4/mmm (No. 123); the cell edges are 5.0535, 5.0535 and 5.0328 Å and the angles 90.00°, 90.00° and 90.00°. Symmetry generates all atoms from Sc at (0.0000, 0.0000, 0.0000), Sn at (0.5000, 0.5000, 0.5000), As at (0.0000, 0.5000, 0.0000) and Se at (0.0000, 0.0000, 0.5000).

A relaxed SrScAs2Se crystal. Source: the Alexandria database, functional GGA-PBEsol.

Its energy is -0.388 Ry/atom. Its uncorrected formation energy is -782 meV per atom. Its crystal system is tetragonal.

The structure belongs to space group P4/mmm (No. 123); the cell edges are 5.0660, 5.0660 and 5.1370 Å and the angles 90.00°, 90.00° and 90.00°. Symmetry generates all atoms from Sr at (0.0000, 0.0000, 0.0000), Sc at (0.5000, 0.5000, 0.5000), As at (0.0000, 0.5000, 0.5000) and Se at (0.5000, 0.5000, 0.0000).

A relaxed ScTeAs2Se crystal. Source: the Alexandria database, functional GGA-PBEsol.

Its energy is -0.345 Ry/atom. Its uncorrected formation energy is 141 meV per atom. Its crystal system is tetragonal.

The structure belongs to space group P4/mmm (No. 123); the cell edges are 5.1359, 5.1359 and 4.8814 Å and the angles 90.00°, 90.00° and 90.00°. Symmetry generates all atoms from Sc at (0.0000, 0.0000, 0.0000), Te at (0.5000, 0.5000, 0.5000), As at (0.0000, 0.5000, 0.0000) and Se at (0.0000, 0.0000, 0.5000).

A relaxed ScAs2WSe crystal. Source: the Alexandria database, functional GGA-PBEsol.

Its energy is -0.427 Ry/atom. Its uncorrected formation energy is 1091 meV per atom. Its crystal system is tetragonal.

The structure belongs to space group P4/mmm (No. 123); the cell edges are 4.9106, 4.9106 and 4.9178 Å and the angles 90.00°, 90.00° and 90.00°. Symmetry generates all atoms from Sc at (0.0000, 0.0000, 0.0000), As at (0.0000, 0.5000, 0.0000), W at (0.5000, 0.5000, 0.5000) and Se at (0.0000, 0.0000, 0.5000).

A relaxed ScAsWSe2 crystal. Source: the Alexandria database, functional GGA-PBEsol.

Its energy is -0.423 Ry/atom. Its uncorrected formation energy is 892 meV per atom. Its crystal system is tetragonal.

The structure belongs to space group P4/mmm (No. 123); the cell edges are 4.9182, 4.9182 and 4.9826 Å and the angles 90.00°, 90.00° and 90.00°. Symmetry generates all atoms from Sc at (0.0000, 0.0000, 0.0000), As at (0.0000, 0.0000, 0.5000), W at (0.5000, 0.5000, 0.5000) and Se at (0.0000, 0.5000, 0.0000).

A relaxed ScSiAs2 crystal. Source: the Alexandria database, functional GGA-PBEsol.

Its energy is -0.441 Ry/atom. Its uncorrected formation energy is -357 meV per atom. Its crystal system is tetragonal.

The structure belongs to space group P4/mmm (No. 123); the cell edges are 4.4649, 4.4649 and 3.4797 Å and the angles 90.00°, 90.00° and 90.00°. Symmetry generates all atoms from Sc at (0.0000, 0.0000, 0.0000), Si at (0.5000, 0.5000, 0.0000) and As at (0.0000, 0.5000, 0.5000).

A relaxed ScSiAs2 crystal. Source: the Alexandria database, functional GGA-PBEsol.

Its energy is -0.445 Ry/atom. Its uncorrected formation energy is -410 meV per atom. Its crystal system is tetragonal.

The structure belongs to space group P4/mmm (No. 123); the cell edges are 3.6065, 3.6065 and 5.4171 Å and the angles 90.00°, 90.00° and 90.00°. Symmetry generates all atoms from Sc at (0.0000, 0.0000, 0.0000), Si at (0.0000, 0.0000, 0.5000) and As at (0.5000, 0.5000, 0.2512).

A relaxed Sc2SiAs crystal. Source: the Alexandria database, functional GGA-PBEsol.

Its energy is -0.491 Ry/atom. Its uncorrected formation energy is -661 meV per atom. Its crystal system is tetragonal.

The structure belongs to space group I-42d (No. 122); the cell edges are 7.1451, 7.1451 and 6.0675 Å and the angles 90.00°, 90.00° and 90.00°. Symmetry generates all atoms from Sc at (0.2477, 0.7500, 0.1250), Si at (0.0000, 0.0000, 0.5000) and As at (0.0000, 0.0000, 0.0000).

A relaxed ScSiAs2 crystal. Source: the Alexandria database, functional GGA-PBEsol.

Its energy is -0.446 Ry/atom. Its uncorrected formation energy is -421 meV per atom. Its crystal system is monoclinic.

The structure belongs to space group P2/m (No. 10); the cell edges are 3.6115, 3.6538 and 5.4957 Å and the angles 90.00°, 102.30° and 90.00°. Symmetry generates all atoms from Sc at (0.0000, 0.0000, 0.0000), Si at (0.0000, 0.0000, 0.5000) and As at (0.4640, 0.5000, 0.7518).

A relaxed ScSn3As crystal. Source: the Alexandria database, functional GGA-PBEsol.

Its energy is -0.325 Ry/atom. For the formation energy, the calculation gives 2.4 eV/f.u. Its crystal system is cubic.

The structure belongs to space group Pm-3m (No. 221); the cell edges are 5.2242, 5.2242 and 5.2242 Å and the angles 90.00°, 90.00° and 90.00°. Symmetry generates all atoms from Sc at (0.0000, 0.0000, 0.0000), Sn at (0.0000, 0.5000, 0.5000) and As at (0.5000, 0.5000, 0.5000).

What did the third record say?
A relaxed ScSnAs2Se crystal. Source: the Alexandria database, functional GGA-PBEsol.

Its energy is -0.369 Ry/atom. Its uncorrected formation energy is -39 meV per atom. Its crystal system is tetragonal.

The structure belongs to space group P4/mmm (No. 123); the cell edges are 5.0535, 5.0535 and 5.0328 Å and the angles 90.00°, 90.00° and 90.00°. Symmetry generates all atoms from Sc at (0.0000, 0.0000, 0.0000), Sn at (0.5000, 0.5000, 0.5000), As at (0.0000, 0.5000, 0.0000) and Se at (0.0000, 0.0000, 0.5000).

Look up the energy of the seventh one. -0.423 Ry/atom

Which of these has the lowest energy? Sc2SiAs

Number 12 is which compound? ScSn3As